A PBEsol-optimized structure of CsGa3Ni, computed with SCAN.

Summary:
M_tot   0.00 μB per cell
Calculated total energy   -102.89 eV for the cell shown
Energy of formation from the pure elements   28 meV/atom

```
CsGa3Ni
1.0
4.7506 0.0000 0.0000
0.0000 4.7506 0.0000
0.0000 0.0000 4.7506
Cs Ga Ni
1 3 1
Cartesian
0.0000 0.0000 0.0000
0.0000 2.3753 2.3753
2.3753 0.0000 2.3753
2.3753 2.3753 0.0000
2.3753 2.3753 2.3753
```



A PBEsol-optimized structure of CsGaO2, computed with SCAN.

Summary:
M_tot   0.00 μB per cell
Calculated total energy   -148.87 eV for the cell shown
E_form (uncorrected)   -1.95 eV/atom

```
CsGaO2
1.0
0.0000 4.1998 4.1998
4.1998 0.0000 4.1998
4.1998 4.1998 0.0000
Cs Ga O
2 2 4
Cartesian
1.0499 1.0499 1.0499
7.3496 7.3496 7.3496
3.1498 3.1498 3.1498
5.2497 5.2497 5.2497
4.1998 2.0999 2.0999
2.0999 4.1998 2.0999
2.0999 2.0999 4.1998
4.1998 4.1998 4.1998
```



A PBEsol-optimized structure of CsGa2P5O16, computed with SCAN.

Summary:
M_tot   0.00 μB per cell
Calculated total energy   -559.91 eV for the cell shown
E_form (uncorrected)   -2.41 eV/atom

```
CsGa2P5O16
1.0
7.4754 0.0000 0.0000
0.0000 9.2669 0.0000
-3.8895 0.0000 9.4861
Cs Ga P O
2 4 10 32
Cartesian
0.0000 1.8318 0.0000
-1.9447 7.4351 4.7430
-1.8585 3.4189 5.7301
0.0863 5.8480 0.9871
3.8402 1.2845 1.9985
1.8955 7.9824 6.7415
0.4568 1.2882 5.8236
2.4015 7.9787 1.0806
-0.1956 2.7462 8.2532
1.7491 6.5207 3.5102
2.6853 4.2197 2.1858
0.7405 5.0472 6.9289
3.2456 1.1748 5.1421
5.1903 8.0921 0.3990
5.5094 3.8477 2.5648
3.5647 5.4192 7.3078
-0.7895 1.8414 5.1958
1.1553 7.4255 0.4528
-1.5731 2.7556 7.6382
0.3717 6.5113 2.8951
-0.0967 4.4507 5.8364
1.8481 4.8162 1.0934
2.3456 0.2063 1.3331
0.4009 9.0606 6.0761
2.5544 2.7454 2.4625
0.6097 6.5215 7.2055
1.6952 1.6755 4.9340
3.6399 7.5914 0.1910
0.8055 2.0111 7.2230
2.7502 7.2558 2.4799
0.4179 4.2342 8.2943
2.3627 5.0327 3.5513
3.8733 2.1410 0.1080
1.9286 7.1259 4.8510
4.2070 4.5804 1.8974
2.2623 4.6865 6.6405
3.6804 0.5907 3.8046
1.7357 8.6762 8.5476
3.1826 0.1043 6.2305
5.1273 9.1626 1.4875
3.9883 2.4088 5.5984
5.9330 6.8581 0.8554
5.3647 2.3456 2.3798
3.4199 6.9213 7.1229
5.4927 4.2809 4.0195
3.5480 4.9860 8.7625
6.6902 4.3262 1.7546
4.7455 4.9407 6.4977
```



A PBEsol-optimized structure of CsGaSe2O6, computed with SCAN.

Summary:
M_tot   0.00 μB per cell
Calculated total energy   -584.30 eV for the cell shown
E_form (uncorrected)   -1.44 eV/atom

```
CsGaSe2O6
1.0
6.8779 -2.7467 0.0000
6.8779 2.7467 0.0000
-5.4747 0.0000 17.5555
Cs Ga Se O
4 4 8 24
Cartesian
0.0000 0.0000 0.0000
-3.2656 0.0000 12.4710
4.1406 0.0000 8.7777
11.5468 0.0000 5.0845
0.5990 0.0000 11.1469
4.0719 0.0000 2.2316
4.2092 0.0000 15.3239
7.6821 0.0000 6.4085
0.3773 0.0000 7.9664
-1.9439 0.0000 16.5840
1.9245 0.0000 4.7078
1.5484 0.0000 14.4238
6.7328 0.0000 3.1317
6.3566 0.0000 12.8476
10.2250 0.0000 0.9715
7.9038 0.0000 9.5891
-1.3590 1.3268 15.6490
2.0636 1.3245 5.8042
1.8197 1.4095 10.3567
-0.5057 0.0000 9.4576
5.6437 1.2422 2.6274
2.6374 1.2422 14.9280
4.6992 0.0000 0.2970
3.5393 0.0000 4.1411
6.4614 1.4095 7.1987
1.7695 0.0000 12.7115
6.2176 1.3245 11.7513
-1.3590 -1.3268 15.6490
9.6401 1.3268 1.9065
2.0636 -1.3245 5.8042
6.5117 0.0000 4.8440
1.8197 -1.4095 10.3567
4.7419 0.0000 13.4144
3.5820 0.0000 17.2585
5.6437 -1.2422 2.6274
2.6374 -1.2422 14.9280
8.7869 0.0000 8.0979
6.4614 -1.4095 7.1987
6.2176 -1.3245 11.7513
9.6401 -1.3268 1.9065
```



A PBEsol-optimized structure of CsSc2GaOs, computed with SCAN.

Summary:
M_tot   1.06 μB per cell
Calculated total energy   -147.08 eV for the cell shown
Energy of formation from the pure elements   1487 meV/atom

```
CsSc2GaOs
1.0
5.0926 0.0000 0.0000
0.0000 5.0926 0.0000
0.0000 0.0000 5.5734
Cs Sc Ga Os
1 2 1 1
Cartesian
0.0000 0.0000 0.0000
0.0000 2.5463 2.7867
2.5463 0.0000 2.7867
0.0000 0.0000 2.7867
2.5463 2.5463 0.0000
```



A PBEsol-optimized structure of CsGa3P, computed with SCAN.

Summary:
M_tot   0.01 μB per cell
Calculated total energy   -88.40 eV for the cell shown
Energy of formation from the pure elements   1770 meV/atom

```
CsGa3P
1.0
5.6881 0.0000 0.0000
0.0000 5.6881 0.0000
0.0000 0.0000 5.6881
Cs Ga P
1 3 1
Cartesian
0.0000 0.0000 0.0000
0.0000 0.0000 2.8441
0.0000 2.8441 0.0000
2.8441 0.0000 0.0000
2.8441 2.8441 2.8441
```



| no. | theoretical density (g/cm³) |
| --- | --- |
| 1 | 6.21 |
| 2 | 5.26 |
| 3 | 3.45 |
| 4 | 4.57 |
| 5 | 5.55 |
| 6 | 3.37 |